[1]
Nd2Tm3Ge4: relaxed, PBE.

Values from the calculation:
DOS at the Fermi energy in states/eV per atom: 0.650
Spin magnetization in μB per cell: 0.00

```
data_Nd2Tm3Ge4
_symmetry_space_group_name_H-M 'P 1 21/c 1'
_symmetry_Int_Tables_number 14
_cell_length_a 7.8837
_cell_length_b 7.8318
_cell_length_c 7.6093
_cell_angle_alpha 90.00
_cell_angle_beta 110.78
_cell_angle_gamma 90.00
loop_
_symmetry_equiv_pos_as_xyz
'x,y,z'
'-x,-y,-z'
'-x,y+1/2,-z+1/2'
'x,-y+1/2,z+1/2'
loop_
_atom_site_label
_atom_site_type_symbol
_atom_site_fract_x
_atom_site_fract_y
_atom_site_fract_z
_atom_site_occupancy
Nd1 Nd 0.1947 0.1793 0.0667 1
Tm1 Tm 0.2438 0.6654 0.2394 1
Tm2 Tm 0.5000 0.0000 0.5000 1
Ge1 Ge 0.0857 0.5409 0.8406 1
Ge2 Ge 0.4932 0.1314 0.8675 1
```

---

[2]
AcNdSm6Tm2: relaxed, PBE.

Values from the calculation:
DOS at the Fermi energy in states/eV per atom: 1.423
Spin magnetization in μB per cell: 0.00

```
data_AcNdSm6Tm2
_symmetry_space_group_name_H-M 'C 1 2/c 1'
_symmetry_Int_Tables_number 15
_cell_length_a 9.3942
_cell_length_b 15.3044
_cell_length_c 9.7178
_cell_angle_alpha 90.00
_cell_angle_beta 95.71
_cell_angle_gamma 90.00
loop_
_symmetry_equiv_pos_as_xyz
'x,y,z'
'-x,-y,-z'
'-x,y,-z+1/2'
'x,-y,z+1/2'
'x+1/2,y+1/2,z'
'-x+1/2,-y+1/2,-z'
'-x+1/2,y+1/2,-z+1/2'
'x+1/2,-y+1/2,z+1/2'
loop_
_atom_site_label
_atom_site_type_symbol
_atom_site_fract_x
_atom_site_fract_y
_atom_site_fract_z
_atom_site_occupancy
Ac1 Ac 0.0000 0.0332 0.2500 1
Nd1 Nd 0.0000 0.4098 0.7500 1
Sm1 Sm 0.0661 0.1812 0.9445 1
Sm2 Sm 0.0964 0.3890 0.1183 1
Sm3 Sm 0.2181 0.2304 0.3218 1
Tm1 Tm 0.2445 0.4465 0.4509 1
```

---

no.,ΔE_f (eV/atom),density (g/cm3),calculated total energy (eV/atom)
1,-0.88,8.21,-5.4807
2,0.12,7.70,-4.4902